First-principles (GGA+U) data for a relaxed AsWO3 crystal, as listed in the Alexandria database.

```
data_AsWO3
_cell_length_a 3.961
_cell_length_b 3.961
_cell_length_c 3.961
_cell_angle_alpha 90.00
_cell_angle_beta 90.00
_cell_angle_gamma 90.00
_symmetry_space_group_name_H-M 'P m -3 m'
_symmetry_Int_Tables_number 221
_symmetry_space_group_name_Hall '-P 4 2 3'
loop_
_atom_site_label
_atom_site_fract_x
_atom_site_fract_y
_atom_site_fract_z
As1 0.000 0.000 0.000
W1 0.500 0.500 0.500
O1 0.000 0.500 0.500
```

Properties
- V (Å³ per cell) = 62.13
- calculated total energy (eV per atom) = -6.118